No. 1
Density functional theory data (PBE) for an optimized crystal structure of Dy3Er2Tm6Hf.

**Crystal system**: monoclinic
**Symmetry**: No. 12

a b c (Å): 6.0101 6.0101 11.4800
angles (deg): 94.99 94.99 119.91
With the nearest neighbours (Å) after each atom.
Positions (direct):
Dy 0.1667 0.8333 0.5000  6 Dy 3.47, 6 Tm 3.51-3.55
Dy 0.8333 0.1667 0.5000  6 Dy 3.47, 6 Tm 3.51-3.55
Dy 0.5000 0.5000 0.5000  6 Dy 3.47, 6 Tm 3.51-3.55
Er 0.3332 0.6668 0.0000  6 Tm 3.42, 3 Hf 3.47, 3 Er 3.47
Er 0.6668 0.3332 0.0000  6 Tm 3.42, 3 Hf 3.47, 3 Er 3.47
Tm 0.9193 0.5932 0.7564  1 Hf 3.38, 6 Tm 3.39-3.51, 2 Er 3.42, 3 Dy 3.51-3.55
Tm 0.7546 0.7546 0.2432  1 Hf 3.38, 6 Tm 3.40-3.51, 2 Er 3.42, 3 Dy 3.52-3.55
Tm 0.0807 0.4068 0.2436  1 Hf 3.38, 6 Tm 3.39-3.51, 2 Er 3.42, 3 Dy 3.51-3.55
Tm 0.5932 0.9193 0.7564  1 Hf 3.38, 6 Tm 3.39-3.51, 2 Er 3.42, 3 Dy 3.51-3.55
Tm 0.2454 0.2454 0.7568  1 Hf 3.38, 6 Tm 3.40-3.51, 2 Er 3.42, 3 Dy 3.52-3.55
Tm 0.4068 0.0807 0.2436  1 Hf 3.38, 6 Tm 3.39-3.51, 2 Er 3.42, 3 Dy 3.51-3.55
Hf 0.0000 0.0000 0.0000  6 Tm 3.38, 6 Er 3.47



No. 2
Density functional theory data (PBE) for an optimized crystal structure of DyEr4Hg2.

**Crystal system**: trigonal
**Symmetry**: No. 166

a b c (Å): 5.0182 5.0182 10.4707
angles (deg): 76.14 76.14 60.00
With the nearest neighbours (Å) after each atom.
Positions (direct):
Dy 0.5000 0.5000 0.5000  2 Hg 3.05
Er 0.7029 0.7029 0.8912  4 Hg 3.03-3.08
Er 0.8938 0.8938 0.3185  3 Hg 3.14, 3 Dy 3.42
Er 0.2971 0.2971 0.1088  4 Hg 3.03-3.08
Er 0.1062 0.1062 0.6815  3 Hg 3.14, 3 Dy 3.42
Hg 0.6010 0.6010 0.1971  7 Er 3.03-3.14, 1 Dy 3.05
Hg 0.3990 0.3990 0.8029  7 Er 3.03-3.14, 1 Dy 3.05



No. 3
Density functional theory data (PBE) for an optimized crystal structure of Dy8Er2Hg.

**Crystal system**: monoclinic
**Symmetry**: No. 12

a b c (Å): 5.5298 6.3570 9.9828
angles (deg): 85.21 106.08 90.00
With the nearest neighbours (Å) after each atom.
Positions (direct):
Dy 0.4213 0.6013 0.8427  1 Hg 3.06, 3 Dy 3.18-3.33, 1 Er 3.43
Dy 0.6595 0.8783 0.3191  1 Hg 3.09, 2 Er 3.40, 2 Dy 3.44
Dy 0.8443 0.7989 0.6885  5 Dy 3.33-3.54, 4 Er 3.52-3.65
Dy 0.9565 0.2643 0.9130  2 Hg 3.30, 4 Dy 3.53-3.62
Dy 0.1557 0.2011 0.3115  5 Dy 3.33-3.54, 4 Er 3.52-3.65
Dy 0.3405 0.1217 0.6809  1 Hg 3.09, 2 Er 3.40, 2 Dy 3.44
Dy 0.5787 0.3987 0.1573  1 Hg 3.06, 3 Dy 3.18-3.33, 1 Er 3.43
Dy 0.0435 0.7357 0.0870  2 Hg 3.30, 4 Dy 3.53-3.62
Er 0.7578 0.3327 0.5155  10 Dy 3.40-3.80, 2 Er 3.49
Er 0.2422 0.6673 0.4845  10 Dy 3.40-3.80, 2 Er 3.49
Hg 0.5000 0.0000 0.0000  8 Dy 3.06-3.30



No. 4
Density functional theory data (PBE) for an optimized crystal structure of Dy3Er2Hg2.

**Crystal system**: trigonal
**ΔE to the lowest computed polymorph**: 0.000 eV/atom
**Symmetry**: No. 166

a b c (Å): 5.3211 5.3243 8.4573
angles (deg): 108.33 90.00 119.98
With the nearest neighbours (Å) after each atom.
Positions (direct):
Dy 0.5000 0.0000 0.0000  6 Hg 3.26
Dy 0.6578 0.3156 0.4735  1 Hg 3.05, 3 Dy 3.10
Dy 0.3422 0.6844 0.5265  1 Hg 3.05, 3 Dy 3.10
Er 0.9253 0.8506 0.2758  4 Hg 3.26-3.27, 3 Dy 3.45, 1 Er 3.53
Er 0.0747 0.1494 0.7242  4 Hg 3.26-3.27, 3 Dy 3.45, 1 Er 3.53
Hg 0.7871 0.5743 0.8610  4 Dy 3.05-3.26, 4 Er 3.26-3.27
Hg 0.2129 0.4257 0.1390  4 Dy 3.05-3.26, 4 Er 3.26-3.27



No. 5
Density functional theory data (PBE) for an optimized crystal structure of DyEr3Hg4.

**Crystal system**: monoclinic
**ΔE to the lowest computed polymorph**: 0.202 eV/atom
**Symmetry**: No. 12

a b c (Å): 5.2643 5.9499 7.5699
angles (deg): 106.94 110.35 90.00
With the nearest neighbours (Å) after each atom.
Positions (direct):
Dy 0.5000 0.0000 0.0000  2 Hg 3.00
Er 0.0000 0.5000 0.0000  4 Hg 3.06
Er 0.1687 0.0790 0.3374  5 Hg 3.03-3.36
Er 0.8313 0.9210 0.6626  5 Hg 3.03-3.36
Hg 0.2593 0.6717 0.5185  5 Hg 3.01-3.33, 4 Er 3.04-3.36, 1 Dy 3.37
Hg 0.7407 0.3283 0.4815  5 Hg 3.01-3.33, 4 Er 3.04-3.36, 1 Dy 3.37
Hg 0.6121 0.6469 0.2242  1 Dy 3.00, 4 Hg 3.01-3.33, 3 Er 3.03-3.06
Hg 0.3879 0.3531 0.7758  1 Dy 3.00, 4 Hg 3.01-3.33, 3 Er 3.03-3.06



No. 6
Density functional theory data (PBE) for an optimized crystal structure of DyEr2Hg8.

**Crystal system**: monoclinic
**Symmetry**: No. 12

a b c (Å): 4.9038 7.2228 8.3384
angles (deg): 108.16 107.10 90.00
With the nearest neighbours (Å) after each atom.
Positions (direct):
Dy 0.5000 0.0000 0.0000  12 Hg 3.07-3.37
Er 0.7834 0.3443 0.5668  10 Hg 3.09-3.31
Er 0.2166 0.6557 0.4332  10 Hg 3.09-3.31
Hg 0.4022 0.5432 0.8044  6 Hg 3.05-3.39, 3 Er 3.14-3.31, 1 Dy 3.16
Hg 0.6737 0.9034 0.3474  8 Hg 3.05-3.41, 1 Dy 3.07, 3 Er 3.09-3.24
Hg 0.8511 0.8124 0.7021  7 Hg 3.10-3.39, 3 Er 3.20-3.21, 2 Dy 3.37
Hg 0.9684 0.2688 0.9367  7 Hg 3.12-3.29, 1 Er 3.17, 2 Dy 3.27
Hg 0.1489 0.1876 0.2979  7 Hg 3.10-3.39, 3 Er 3.20-3.21, 2 Dy 3.37
Hg 0.3263 0.0966 0.6526  8 Hg 3.05-3.41, 1 Dy 3.07, 3 Er 3.09-3.24
Hg 0.5978 0.4568 0.1956  6 Hg 3.05-3.39, 3 Er 3.14-3.31, 1 Dy 3.16
Hg 0.0316 0.7312 0.0633  7 Hg 3.12-3.29, 1 Er 3.17, 2 Dy 3.27



| no. | formation enthalpy at 0 K (meV per atom) | VASP energy (eV/atom) |
| --- | --- | --- |
| 1 | 58 | -4.918 |
| 2 | 30 | -3.321 |
| 3 | -51 | -4.256 |
| 4 | -240 | -3.602 |
| 5 | -279 | -2.716 |
| 6 | -300 | -1.767 |